SrSBr2: optimized geometry, PBE.

Properties
formation energy without anion corrections: -330 kJ/mol of formula units
polymorph energy (0 for the lowest one): 169 meV/atom
total energy: -25.14 eV per cell

Cell: 10.4813 10.4813 10.4813 Å, 152.56 152.56 39.19°
Fractional positions:
Sr  0.0000  0.0000  0.0000
Sr  0.7500  0.2500  0.5000
S  0.2500  0.7500  0.5000
S  0.5000  0.5000  0.0000
Br  0.1434  0.6250  0.0184
Br  0.3750  0.3934  0.5184
Br  0.6066  0.1250  0.9816
Br  0.8750  0.8566  0.4816